Entry 1:
{
  "formula": "CeThPaZn",
  "functional": "GGA-PBE",
  "state": "relaxed",
  "density_g_cm3": 10.97,
  "dos_ef_per_ev_cell": 10.6,
  "crystal_system": "cubic",
  "vol_a3_per_atom": 25.3,
  "m_tot_mub_per_atom": 0.011,
  "space_group": "F-43m",
  "energy_ev_per_atom": -5.82,
  "lattice_angstrom": [[5.231, 0.000, 0.000], [2.615, 4.530, 0.000], [2.615, 1.510, 4.271]],
  "species": ["Zn", "Th", "Ce", "Pa"],
  "frac_coords": [[0.000, 0.000, 0.000], [0.750, 0.750, 0.750], [0.250, 0.250, 0.250], [0.500, 0.500, 0.500]]
}

=====

Entry 2:
{
  "formula": "CeThZrPa",
  "functional": "GGA-PBE",
  "state": "relaxed",
  "density_g_cm3": 10.91,
  "dos_ef_per_ev_cell": 8.3,
  "crystal_system": "cubic",
  "vol_a3_per_atom": 26.4,
  "m_tot_mub_per_atom": 0.000,
  "space_group": "F-43m",
  "energy_ev_per_atom": -7.64,
  "lattice_angstrom": [[5.307, 0.000, 0.000], [2.654, 4.596, 0.000], [2.654, 1.532, 4.334]],
  "species": ["Th", "Ce", "Pa", "Zr"],
  "frac_coords": [[0.250, 0.250, 0.250], [0.000, 0.000, 0.000], [0.750, 0.750, 0.750], [0.500, 0.500, 0.500]]
}

=====

Entry 3:
{
  "formula": "Ce2PaTi",
  "functional": "GGA-PBE",
  "state": "relaxed",
  "density_g_cm3": 9.79,
  "dos_ef_per_ev_cell": 8.9,
  "crystal_system": "tetragonal",
  "vol_a3_per_atom": 23.7,
  "m_tot_mub_per_atom": 0.000,
  "space_group": "P4/mmm",
  "energy_ev_per_atom": -7.18,
  "lattice_angstrom": [[-0.087, -2.360, -2.034], [1.132, -1.920, 2.179], [-9.091, -2.122, 2.852]],
  "species": ["Ti", "Ce", "Ce", "Pa"],
  "frac_coords": [[0.500, 0.500, 0.000], [0.000, 0.000, 0.240], [0.000, 0.000, 0.760], [0.500, 0.500, 0.500]]
}

=====

Entry 4:
{
  "formula": "Ce2PaTi",
  "functional": "GGA-PBE",
  "state": "relaxed",
  "density_g_cm3": 9.70,
  "dos_ef_per_ev_cell": 9.1,
  "crystal_system": "tetragonal",
  "vol_a3_per_atom": 23.9,
  "m_tot_mub_per_atom": 0.000,
  "space_group": "P4/mmm",
  "energy_ev_per_atom": -7.12,
  "lattice_angstrom": [[-1.503, -2.026, 3.934], [-3.541, -1.714, -2.235], [2.411, -3.700, -0.984]],
  "species": ["Ti", "Ce", "Ce", "Pa"],
  "frac_coords": [[0.500, 0.500, 0.500], [0.000, 0.500, 0.000], [0.000, 0.000, 0.500], [0.500, 0.000, 0.000]]
}

=====

Entry 5:
{
  "formula": "CePaTi2",
  "functional": "GGA-PBE",
  "state": "relaxed",
  "density_g_cm3": 8.46,
  "dos_ef_per_ev_cell": 9.2,
  "crystal_system": "tetragonal",
  "vol_a3_per_atom": 22.9,
  "m_tot_mub_per_atom": 0.120,
  "space_group": "P4/mmm",
  "energy_ev_per_atom": -7.61,
  "lattice_angstrom": [[3.685, 0.000, 0.000], [0.000, 3.685, 0.000], [0.000, 0.000, 6.751]],
  "species": ["Ti", "Ti", "Ce", "Pa"],
  "frac_coords": [[0.000, 0.000, 0.203], [0.000, 0.000, 0.797], [0.500, 0.500, 0.500], [0.500, 0.500, 0.000]]
}

=====

Entry 6:
{
  "formula": "CePa2Ti",
  "functional": "GGA-PBE",
  "state": "relaxed",
  "density_g_cm3": 11.84,
  "dos_ef_per_ev_cell": 7.3,
  "crystal_system": "tetragonal",
  "vol_a3_per_atom": 22.8,
  "m_tot_mub_per_atom": 0.000,
  "space_group": "P4/mmm",
  "energy_ev_per_atom": -8.09,
  "lattice_angstrom": [[3.024, 0.000, 0.000], [0.000, 3.024, 0.000], [0.000, 0.000, 9.970]],
  "species": ["Pa", "Pa", "Ti", "Ce"],
  "frac_coords": [[0.000, 0.000, 0.234], [0.000, 0.000, 0.766], [0.500, 0.500, 0.000], [0.500, 0.500, 0.500]]
}